Computed, not measured: a relaxed structure of CaSiP2 at the PBE level of DFT.

Cell lengths 3.4801, 3.4801, 7.0400 Å; angles 90.00, 90.00, 90.00 degrees
Fractional coordinates of all 4 atoms:
Si 0.0000 0.0000 0.3076
P 0.5000 0.5000 0.3943
P 0.0000 0.0000 0.9908
Ca 0.5000 0.5000 0.8072

Calculated values
E = -4.82 eV per atom
ΔE_f (raw) = -1.026 eV per formula unit
Theoretical density = 2.5 g/cm³

---

Computed, not measured: a relaxed structure of SrAcPrSm at the PBE level of DFT.

Cell lengths 6.1386, 6.1386, 6.1386 Å; angles 60.00, 60.00, 60.00 degrees
Fractional coordinates of all 4 atoms:
Sr 0.2500 0.2500 0.2500
Ac 0.7500 0.7500 0.7500
Sm 0.5000 0.5000 0.5000
Pr 0.0000 0.0000 0.0000

Calculated values
E = -3.63 eV per atom
Energy of formation from the pure elements = 0.20 eV/atom
Theoretical density = 6.2 g/cm³

---

Computed, not measured: a relaxed structure of AlCoN3 at the PBE level of DFT.

Cell lengths 3.6852, 3.6852, 3.6852 Å; angles 90.00, 90.00, 90.00 degrees
Fractional coordinates of all 5 atoms:
Co 0.5000 0.5000 0.5000
Al 0.0000 0.0000 0.0000
N 0.0000 0.0000 0.5000
N 0.5000 0.0000 0.0000
N 0.0000 0.5000 0.0000

Calculated values
E = -5.89 eV per atom
ΔE_f (raw) = 6.390 eV per formula unit
Theoretical density = 4.2 g/cm³

---

Computed, not measured: a relaxed structure of Ba2AcHg6Pb3 at the PBE level of DFT.

Cell lengths 4.7855, 4.7855, 20.5715 Å; angles 90.00, 90.00, 90.00 degrees
Fractional coordinates of all 12 atoms:
Hg 0.5000 0.0000 0.3853
Hg 0.0000 0.0000 0.8601
Hg 0.0000 0.5000 0.3853
Hg 0.0000 0.5000 0.6147
Hg 0.0000 0.0000 0.1399
Hg 0.5000 0.0000 0.6147
Ba 0.5000 0.5000 0.2223
Ba 0.5000 0.5000 0.7777
Pb 0.0000 0.0000 0.2867
Pb 0.0000 0.0000 0.0000
Pb 0.0000 0.0000 0.7133
Ac 0.5000 0.5000 0.5000

Calculated values
E = -1.90 eV per atom
Energy of formation from the pure elements = -0.16 eV/atom
Theoretical density = 8.2 g/cm³

---

Computed, not measured: a relaxed structure of Na3CrH7 at the PBE level of DFT.

Cell lengths 5.4474, 5.4474, 5.3355 Å; angles 59.82, 59.82, 90.05 degrees
Fractional coordinates of all 11 atoms:
H 0.6915 0.1078 0.1373
H 0.1078 0.6915 0.1373
H 0.0455 0.2845 0.6632
H 0.2845 0.0455 0.6632
H 0.7054 0.7054 0.4610
H 0.1502 0.1502 0.0956
H 0.7844 0.7844 0.9430
Na 0.2137 0.7256 0.5328
Na 0.4504 0.4504 0.0633
Na 0.7256 0.2137 0.5328
Cr 0.9660 0.9660 0.0207

Calculated values
E = -3.50 eV per atom
Theoretical density = 1.9 g/cm³

---

Computed, not measured: a relaxed structure of Na2VCuNi at the PBE level of DFT.

Cell lengths 5.5558, 4.3179, 5.5558 Å; angles 90.00, 90.00, 90.00 degrees
Fractional coordinates of all 5 atoms:
V 0.0000 0.0000 0.0000
Cu 0.5000 0.5000 0.5000
Ni 0.0000 0.5000 0.0000
Na 0.0000 0.0000 0.5000
Na 0.5000 0.0000 0.0000

Calculated values
E = -3.06 eV per atom
Energy of formation from the pure elements = 1.27 eV/atom
Theoretical density = 2.7 g/cm³

---

Computed, not measured: a relaxed structure of ZnCuTc at the PBE level of DFT.

Cell lengths 7.6093, 2.6931, 8.8469 Å; angles 90.00, 115.47, 90.00 degrees
Fractional coordinates of all 12 atoms:
Tc 0.9306 0.5000 0.8442
Tc 0.0694 0.5000 0.1558
Tc 0.9306 0.0000 0.3442
Tc 0.0694 0.0000 0.6558
Cu 0.2676 0.5000 0.5061
Cu 0.7324 0.0000 0.9939
Cu 0.7324 0.5000 0.4939
Cu 0.2676 0.0000 0.0061
Zn 0.5939 0.5000 0.1711
Zn 0.5939 0.0000 0.6711
Zn 0.4061 0.0000 0.3289
Zn 0.4061 0.5000 0.8289

Calculated values
E = -5.19 eV per atom
Energy of formation from the pure elements = 0.06 eV/atom
Theoretical density = 9.2 g/cm³
Distance to the lowest polymorph of the same formula = 8.33 kJ/mol of atoms

---

Computed, not measured: a relaxed structure of Nd2SmTh at the PBE level of DFT.

Cell lengths 3.6523, 3.6523, 12.0089 Å; angles 81.25, 81.25, 60.00 degrees
Fractional coordinates of all 4 atoms:
Th 0.6667 0.6667 0.9998
Nd 0.0812 0.0812 0.7565
Nd 0.2520 0.2520 0.2439
Sm 0.5001 0.5001 0.4998

Calculated values
E = -5.39 eV per atom
Energy of formation from the pure elements = 0.03 eV/atom
Theoretical density = 8.2 g/cm³
Distance to the lowest polymorph of the same formula = 0.10 kJ/mol of atoms

---

Computed, not measured: a relaxed structure of CaTm2Cu at the PBE level of DFT.

Cell lengths 3.7014, 3.7014, 10.1423 Å; angles 79.49, 79.49, 60.00 degrees
Fractional coordinates of all 4 atoms:
Cu 0.0000 0.0000 0.0000
Tm 0.2722 0.2722 0.1833
Tm 0.7278 0.7278 0.8167
Ca 0.5000 0.5000 0.5000

Calculated values
E = -3.70 eV per atom
Energy of formation from the pure elements = 0.06 eV/atom
Theoretical density = 6.2 g/cm³
Distance to the lowest polymorph of the same formula = 12.43 kJ/mol of atoms

---

Computed, not measured: a relaxed structure of FeBrCl2 at the PBE level of DFT.

Cell lengths 6.9007, 6.7654, 3.4393 Å; angles 104.74, 104.55, 114.54 degrees
Fractional coordinates of all 4 atoms:
Fe 0.4030 0.4134 0.0331
Cl 0.0796 0.0785 0.7029
Cl 0.3616 0.6433 0.6275
Br 0.6559 0.3647 0.6364

Calculated values
E = -4.06 eV per atom
ΔE_f (raw) = -2.420 eV per formula unit
Theoretical density = 2.7 g/cm³
Distance to the lowest polymorph of the same formula = 2.71 kJ/mol of atoms

---

Computed, not measured: a relaxed structure of ZnRe2Au at the PBE level of DFT.

Cell lengths 4.7452, 4.7452, 4.7452 Å; angles 129.98, 129.98, 73.44 degrees
Fractional coordinates of all 4 atoms:
Au 0.7500 0.2500 0.5000
Re 0.0000 0.0000 0.0000
Re 0.2500 0.7500 0.5000
Zn 0.5000 0.5000 0.0000

Calculated values
E = -6.97 eV per atom
Energy of formation from the pure elements = 0.39 eV/atom
Theoretical density = 17.2 g/cm³

---

Computed, not measured: a relaxed structure of SrPd3Br at the PBE level of DFT.

Cell lengths 4.9321, 4.9321, 4.9321 Å; angles 90.00, 90.00, 90.00 degrees
Fractional coordinates of all 5 atoms:
Pd 0.5000 0.0000 0.0000
Pd 0.0000 0.5000 0.0000
Pd 0.0000 0.0000 0.5000
Br 0.0000 0.0000 0.0000
Sr 0.5000 0.5000 0.5000

Calculated values
E = -3.84 eV per atom
ΔE_f (raw) = -0.283 eV per formula unit
Theoretical density = 6.7 g/cm³
Distance to the lowest polymorph of the same formula = 0.00 kJ/mol of atoms

---

Computed, not measured: a relaxed structure of Be2CuTe at the PBE level of DFT.

Cell lengths 4.0621, 4.0621, 4.6604 Å; angles 87.81, 87.81, 55.82 degrees
Fractional coordinates of all 4 atoms:
Te 0.2372 0.2372 0.2135
Cu 0.4313 0.4313 0.6934
Be 0.0845 0.0845 0.7294
Be 0.7471 0.7471 0.8637

Calculated values
E = -3.44 eV per atom
ΔE_f (raw) = 0.939 eV per formula unit
Theoretical density = 5.5 g/cm³

---

Computed, not measured: a relaxed structure of Ti2ZnHg at the PBE level of DFT.

Cell lengths 4.6148, 4.6148, 4.6148 Å; angles 60.00, 60.00, 60.00 degrees
Fractional coordinates of all 4 atoms:
Ti 0.2500 0.2500 0.2500
Ti 0.7500 0.7500 0.7500
Hg 0.5000 0.5000 0.5000
Zn 0.0000 0.0000 0.0000

Calculated values
E = -4.38 eV per atom
Energy of formation from the pure elements = -0.04 eV/atom
Theoretical density = 8.6 g/cm³
Distance to the lowest polymorph of the same formula = 5.57 kJ/mol of atoms